[1]
# YBe2BiN, optimized geometry, DFT PBE-GGA
data_YBe2BiN
_chemical_formula_sum 'Y1 Be2 Bi1 N1'
_cell_length_a 4.1657
_cell_length_b 4.6824
_cell_length_c 4.1657
_cell_angle_alpha 90.00
_cell_angle_beta 90.00
_cell_angle_gamma 90.00
_symmetry_space_group_name_H-M 'P 1'
_symmetry_Int_Tables_number 1
loop_
_symmetry_equiv_pos_as_xyz
'x,y,z'
loop_
_atom_site_label
_atom_site_type_symbol
_atom_site_fract_x
_atom_site_fract_y
_atom_site_fract_z
Y1 Y 0.0000 0.5000 0.0000
Be1 Be 0.0000 0.0000 0.5000
Be2 Be 0.5000 0.0000 0.0000
Bi1 Bi 0.5000 0.5000 0.5000
N1 N 0.0000 0.0000 0.0000
# energy: -5.232 eV/atom
# space-group type: P4/mmm, No. 123

***

[2]
# YLuBeAu, optimized geometry, DFT PBE-GGA
data_YLuBeAu
_chemical_formula_sum 'Y1 Lu1 Be1 Au1'
_cell_length_a 4.9455
_cell_length_b 4.9455
_cell_length_c 4.9455
_cell_angle_alpha 60.00
_cell_angle_beta 60.00
_cell_angle_gamma 60.00
_symmetry_space_group_name_H-M 'P 1'
_symmetry_Int_Tables_number 1
loop_
_symmetry_equiv_pos_as_xyz
'x,y,z'
loop_
_atom_site_label
_atom_site_type_symbol
_atom_site_fract_x
_atom_site_fract_y
_atom_site_fract_z
Y1 Y 0.7500 0.7500 0.7500
Be1 Be 0.5000 0.5000 0.5000
Lu1 Lu 0.2500 0.2500 0.2500
Au1 Au 0.0000 0.0000 0.0000
# energy: -4.856 eV/atom
# space-group type: F-43m, No. 216
# formation energy from the elements: -0.359 eV per atom

***

[3]
# YScCuSn, optimized geometry, DFT PBE-GGA
data_YScCuSn
_chemical_formula_sum 'Y1 Sc1 Cu1 Sn1'
_cell_length_a 5.0035
_cell_length_b 5.0035
_cell_length_c 5.0035
_cell_angle_alpha 60.00
_cell_angle_beta 60.00
_cell_angle_gamma 60.00
_symmetry_space_group_name_H-M 'P 1'
_symmetry_Int_Tables_number 1
loop_
_symmetry_equiv_pos_as_xyz
'x,y,z'
loop_
_atom_site_label
_atom_site_type_symbol
_atom_site_fract_x
_atom_site_fract_y
_atom_site_fract_z
Y1 Y 0.0000 0.0000 0.0000
Sc1 Sc 0.5000 0.5000 0.5000
Sn1 Sn 0.7500 0.7500 0.7500
Cu1 Cu 0.2500 0.2500 0.2500
# energy: -5.647 eV/atom
# space-group type: F-43m, No. 216
# formation energy from the elements: -0.423 eV per atom

***

[4]
# LiCaBCl, optimized geometry, DFT PBE-GGA
data_LiCaBCl
_chemical_formula_sum 'Li1 Ca1 B1 Cl1'
_cell_length_a 3.4823
_cell_length_b 3.4657
_cell_length_c 7.3920
_cell_angle_alpha 89.74
_cell_angle_beta 109.81
_cell_angle_gamma 89.98
_symmetry_space_group_name_H-M 'P 1'
_symmetry_Int_Tables_number 1
loop_
_symmetry_equiv_pos_as_xyz
'x,y,z'
loop_
_atom_site_label
_atom_site_type_symbol
_atom_site_fract_x
_atom_site_fract_y
_atom_site_fract_z
Li1 Li 0.5193 0.6796 0.2779
Ca1 Ca 0.3814 0.1788 0.8055
B1 B 0.9917 0.6773 0.9543
Cl1 Cl 0.0674 0.1775 0.4114
# energy: -3.324 eV/atom
# E above lowest polymorph: 0.047 eV per atom
# space-group type: P1, No. 1

***

[5]
# Tb2TmUAs4, optimized geometry, DFT PBE-GGA
data_Tb2TmUAs4
_chemical_formula_sum 'Tb2 Tm1 U1 As4'
_cell_length_a 4.0897
_cell_length_b 7.1029
_cell_length_c 7.1092
_cell_angle_alpha 109.17
_cell_angle_beta 90.00
_cell_angle_gamma 90.00
_symmetry_space_group_name_H-M 'P 1'
_symmetry_Int_Tables_number 1
loop_
_symmetry_equiv_pos_as_xyz
'x,y,z'
loop_
_atom_site_label
_atom_site_type_symbol
_atom_site_fract_x
_atom_site_fract_y
_atom_site_fract_z
Tb1 Tb 0.5000 0.0000 0.5000
Tb2 Tb 0.0000 0.5000 0.5000
Tm1 Tm 0.5000 0.5000 0.0000
U1 U 0.0000 0.0000 0.0000
As1 As 0.5000 0.2487 0.2453
As2 As 0.5000 0.7513 0.7547
As3 As 0.0000 0.2502 0.7566
As4 As 0.0000 0.7498 0.2434
# energy: -6.777 eV/atom
# space-group type: P2/m, No. 10
# formation energy from the elements: -1.325 eV per atom

***

[6]
# Pr4Dy3TmS8, optimized geometry, DFT PBE-GGA
data_Pr4Dy3TmS8
_chemical_formula_sum 'Pr4 Dy3 Tm1 S8'
_cell_length_a 7.9081
_cell_length_b 8.0957
_cell_length_c 7.9078
_cell_angle_alpha 119.24
_cell_angle_beta 120.00
_cell_angle_gamma 90.00
_symmetry_space_group_name_H-M 'P 1'
_symmetry_Int_Tables_number 1
loop_
_symmetry_equiv_pos_as_xyz
'x,y,z'
loop_
_atom_site_label
_atom_site_type_symbol
_atom_site_fract_x
_atom_site_fract_y
_atom_site_fract_z
Pr1 Pr 0.5000 0.0000 0.0000
Pr2 Pr 0.5000 0.0000 0.5000
Pr3 Pr 0.0000 0.0000 0.0000
Pr4 Pr 0.0000 0.0000 0.5000
Dy1 Dy 0.5000 0.5000 0.0000
Dy2 Dy 0.5000 0.5000 0.5000
Dy3 Dy 0.0000 0.5000 0.5000
Tm1 Tm 0.0000 0.5000 0.0000
S1 S 0.2410 0.7279 0.9868
S2 S 0.2410 0.7279 0.4821
S3 S 0.2567 0.2701 0.5134
S4 S 0.7458 0.7279 0.9868
S5 S 0.2542 0.2721 0.0132
S6 S 0.7433 0.7299 0.4866
S7 S 0.7590 0.2721 0.5179
S8 S 0.7590 0.2721 0.0132
# energy: -6.406 eV/atom
# space-group type: R-3m, No. 166

***

[7]
# La3Pm8Y, optimized geometry, DFT PBE-GGA
data_La3Pm8Y
_chemical_formula_sum 'La3 Pm8 Y1'
_cell_length_a 8.7398
_cell_length_b 8.7404
_cell_length_c 8.7218
_cell_angle_alpha 94.55
_cell_angle_beta 136.80
_cell_angle_gamma 101.02
_symmetry_space_group_name_H-M 'P 1'
_symmetry_Int_Tables_number 1
loop_
_symmetry_equiv_pos_as_xyz
'x,y,z'
loop_
_atom_site_label
_atom_site_type_symbol
_atom_site_fract_x
_atom_site_fract_y
_atom_site_fract_z
La1 La 0.4989 0.7499 0.2518
La2 La 0.5000 0.2479 0.7501
La3 La 0.8349 0.5011 0.3335
Pm1 Pm 0.4997 0.1677 0.3321
Pm2 Pm 0.5005 0.6703 0.8302
Pm3 Pm 0.1661 0.8345 0.3313
Pm4 Pm 0.1623 0.3317 0.8297
Pm5 Pm 0.1672 0.4141 0.2501
Pm6 Pm 0.8331 0.0803 0.2496
Pm7 Pm 0.8333 0.5838 0.7531
Pm8 Pm 0.1672 0.9176 0.7529
Y1 Y 0.8368 0.0011 0.8356
# energy: -4.905 eV/atom
# space-group type: P1, No. 1
# formation energy from the elements: 0.033 eV per atom

***

[8]
# Sr2AcH8Ru, optimized geometry, DFT PBE-GGA
data_Sr2AcH8Ru
_chemical_formula_sum 'Sr2 Ac1 H8 Ru1'
_cell_length_a 5.1552
_cell_length_b 5.1552
_cell_length_c 7.0082
_cell_angle_alpha 90.00
_cell_angle_beta 90.00
_cell_angle_gamma 120.00
_symmetry_space_group_name_H-M 'P 1'
_symmetry_Int_Tables_number 1
loop_
_symmetry_equiv_pos_as_xyz
'x,y,z'
loop_
_atom_site_label
_atom_site_type_symbol
_atom_site_fract_x
_atom_site_fract_y
_atom_site_fract_z
Sr1 Sr 0.6667 0.3333 0.1443
Sr2 Sr 0.3333 0.6667 0.8557
Ac1 Ac 0.0000 0.0000 0.5000
H1 H 0.8482 0.6964 0.8434
H2 H 0.3036 0.1518 0.8434
H3 H 0.8482 0.1518 0.8434
H4 H 0.1518 0.3036 0.1566
H5 H 0.6964 0.8482 0.1566
H6 H 0.1518 0.8482 0.1566
H7 H 0.6667 0.3333 0.4865
H8 H 0.3333 0.6667 0.5135
Ru1 Ru 0.0000 0.0000 0.0000
# energy: -4.055 eV/atom
# space-group type: P-3m1, No. 164

***

[9]
# CsK2SrZn, optimized geometry, DFT PBE-GGA
data_CsK2SrZn
_chemical_formula_sum 'Cs1 K2 Sr1 Zn1'
_cell_length_a 6.9528
_cell_length_b 6.9528
_cell_length_c 6.4880
_cell_angle_alpha 90.00
_cell_angle_beta 90.00
_cell_angle_gamma 90.00
_symmetry_space_group_name_H-M 'P 1'
_symmetry_Int_Tables_number 1
loop_
_symmetry_equiv_pos_as_xyz
'x,y,z'
loop_
_atom_site_label
_atom_site_type_symbol
_atom_site_fract_x
_atom_site_fract_y
_atom_site_fract_z
Cs1 Cs 0.5000 0.5000 0.5000
Sr1 Sr 0.0000 0.0000 0.5000
Zn1 Zn 0.0000 0.0000 0.0000
K1 K 0.0000 0.5000 0.0000
K2 K 0.5000 0.0000 0.0000
# energy: -1.099 eV/atom
# space-group type: P4/mmm, No. 123
# formation energy from the elements: 0.102 eV per atom

***

[10]
# BaSb3Cl, optimized geometry, DFT PBE-GGA
data_BaSb3Cl
_chemical_formula_sum 'Ba1 Sb3 Cl1'
_cell_length_a 6.3506
_cell_length_b 6.3506
_cell_length_c 6.3506
_cell_angle_alpha 90.00
_cell_angle_beta 90.00
_cell_angle_gamma 90.00
_symmetry_space_group_name_H-M 'P 1'
_symmetry_Int_Tables_number 1
loop_
_symmetry_equiv_pos_as_xyz
'x,y,z'
loop_
_atom_site_label
_atom_site_type_symbol
_atom_site_fract_x
_atom_site_fract_y
_atom_site_fract_z
Sb1 Sb 0.0000 0.5000 0.0000
Sb2 Sb 0.0000 0.0000 0.5000
Sb3 Sb 0.5000 0.0000 0.0000
Ba1 Ba 0.0000 0.0000 0.0000
Cl1 Cl 0.5000 0.5000 0.5000
# energy: -2.344 eV/atom
# E above lowest polymorph: 0.932 eV per atom
# space-group type: Pm-3m, No. 221

***

[11]
# Na4B7C, optimized geometry, DFT PBE-GGA
data_Na4B7C
_chemical_formula_sum 'Na8 B14 C2'
_cell_length_a 2.7520
_cell_length_b 8.7500
_cell_length_c 10.9352
_cell_angle_alpha 90.00
_cell_angle_beta 90.00
_cell_angle_gamma 90.00
_symmetry_space_group_name_H-M 'P 1'
_symmetry_Int_Tables_number 1
loop_
_symmetry_equiv_pos_as_xyz
'x,y,z'
loop_
_atom_site_label
_atom_site_type_symbol
_atom_site_fract_x
_atom_site_fract_y
_atom_site_fract_z
Na1 Na 0.0000 0.9985 0.9975
Na2 Na 0.0000 0.5015 0.9975
Na3 Na 0.5000 0.9995 0.2483
Na4 Na 0.5000 0.5005 0.2483
Na5 Na 0.0000 0.0005 0.5017
Na6 Na 0.0000 0.4995 0.5017
Na7 Na 0.5000 0.0015 0.7525
Na8 Na 0.5000 0.4985 0.7525
C1 C 0.0000 0.7500 0.8302
C2 C 0.5000 0.2500 0.9198
B1 B 0.5000 0.7500 0.0644
B2 B 0.0000 0.2500 0.1646
B3 B 0.5000 0.2500 0.0620
B4 B 0.0000 0.7500 0.1679
B5 B 0.0000 0.7500 0.3255
B6 B 0.5000 0.2500 0.4245
B7 B 0.0000 0.2500 0.3211
B8 B 0.5000 0.7500 0.4289
B9 B 0.5000 0.7500 0.5854
B10 B 0.0000 0.2500 0.6856
B11 B 0.5000 0.2500 0.5821
B12 B 0.0000 0.7500 0.6880
B13 B 0.0000 0.2500 0.8443
B14 B 0.5000 0.7500 0.9057
# energy: -4.880 eV/atom
# E above lowest polymorph: 0.001 eV per atom
# space-group type: Pmmn, No. 59
# formation energy from the elements: 0.223 eV per atom

***

[12]
# SrSnP2O8, optimized geometry, DFT PBE-GGA
data_SrSnP2O8
_chemical_formula_sum 'Sr1 Sn1 P2 O8'
_cell_length_a 4.9417
_cell_length_b 4.9417
_cell_length_c 7.6092
_cell_angle_alpha 90.00
_cell_angle_beta 90.00
_cell_angle_gamma 120.00
_symmetry_space_group_name_H-M 'P 1'
_symmetry_Int_Tables_number 1
loop_
_symmetry_equiv_pos_as_xyz
'x,y,z'
loop_
_atom_site_label
_atom_site_type_symbol
_atom_site_fract_x
_atom_site_fract_y
_atom_site_fract_z
Sr1 Sr 0.0000 0.0000 0.0000
Sn1 Sn 0.0000 0.0000 0.5000
P1 P 0.6667 0.3333 0.2610
P2 P 0.3333 0.6667 0.7390
O1 O 0.3333 0.6667 0.9388
O2 O 0.3473 0.2860 0.3277
O3 O 0.7140 0.0612 0.3277
O4 O 0.6667 0.3333 0.0612
O5 O 0.2860 0.9388 0.6723
O6 O 0.6527 0.7140 0.6723
O7 O 0.0612 0.3473 0.6723
O8 O 0.9388 0.6527 0.3277
# energy: -7.005 eV/atom
# E above lowest polymorph: 0.034 eV per atom
# space-group type: P-3, No. 147

***

no.,Fermi-level density of states (states/eV/f.u.)
1,2.78
2,4.45
3,4.09
4,1.80
5,8.04
6,6.46
7,21.35
8,3.89
9,4.15
10,5.13
11,1.86
12,0.00